Entry i
Below is an optimized crystal structure of HfPtNO, with properties calculated at the PBE level.

```
HfPtNO
1.0
3.395 0.000 0.000
0.000 5.987 0.000
0.000 0.000 5.999
Hf Pt N O
2 2 2 2
direct
0.000 0.211 0.000
0.000 0.789 0.500
0.500 0.241 0.595
0.500 0.759 0.095
0.000 0.080 0.677
0.000 0.920 0.177
0.500 0.355 0.108
0.500 0.645 0.608
```

ρ   10.991 g/cm³
Spin magnetization   0.00 μB per atom
SG   Pmc2_1, No. 26


Entry ii
Below is an optimized crystal structure of HfPtNO, with properties calculated at the PBE level.

```
HfPtNO
1.0
5.296 0.000 0.000
0.000 7.253 0.000
0.000 0.000 5.237
Hf Pt N O
4 4 4 4
direct
0.050 0.150 0.000
0.450 0.150 0.500
0.550 0.850 0.000
0.950 0.850 0.500
0.003 0.519 0.114
0.497 0.519 0.614
0.503 0.481 0.114
0.997 0.481 0.614
0.103 0.292 0.351
0.397 0.292 0.851
0.603 0.708 0.351
0.897 0.708 0.851
0.235 0.959 0.234
0.265 0.959 0.734
0.735 0.041 0.234
0.765 0.041 0.734
```

ρ   13.324 g/cm³
Spin magnetization   0.00 μB per atom
SG   Pca2_1, No. 29


entry ii has the most favorable energy; the next structure is 213 meV per atom above.


Entry i
Below is an optimized crystal structure of PmZr, with properties calculated at the PBE level.

```
PmZr
1.0
3.395 0.000 0.000
-1.698 2.940 0.000
0.000 0.000 5.579
Pm Zr
1 1
direct
0.000 0.000 0.000
0.667 0.333 0.500
```

ρ   7.043 g/cm³
Spin magnetization   0.02 μB per atom
SG   P-6m2, No. 187


Entry ii
Below is an optimized crystal structure of PmZr, with properties calculated at the PBE level.

```
PmZr
1.0
0.000 3.092 3.092
3.092 0.000 3.092
3.092 3.092 0.000
Pm Zr
1 1
direct
0.000 0.000 0.000
0.500 0.500 0.500
```

ρ   6.633 g/cm³
Spin magnetization   0.00 μB per atom
SG   Fm-3m, No. 225


entry i has the most favorable energy; the next structure is 759 meV per atom above.


Entry i
Below is an optimized crystal structure of HgGeSO, with properties calculated at the PBE level.

```
HgGeSO
1.0
4.155 0.000 0.000
0.000 4.155 0.000
0.000 0.000 8.317
Hg Ge S O
2 2 2 2
direct
0.250 0.250 0.177
0.750 0.750 0.823
0.250 0.250 0.550
0.750 0.750 0.450
0.250 0.250 0.827
0.750 0.750 0.173
0.250 0.750 0.500
0.750 0.250 0.500
```

ρ   7.430 g/cm³
SG   P4/nmm, No. 129


Entry ii
Below is an optimized crystal structure of HgGeSO, with properties calculated at the PBE level.

```
HgGeSO
1.0
6.056 0.000 0.000
0.000 8.423 0.000
0.000 0.000 12.128
Hg Ge S O
8 8 8 8
direct
0.245 0.098 0.059
0.245 0.402 0.559
0.255 0.598 0.059
0.255 0.902 0.559
0.745 0.098 0.441
0.745 0.402 0.941
0.755 0.598 0.441
0.755 0.902 0.941
0.240 0.223 0.250
0.240 0.277 0.750
0.260 0.723 0.250
0.260 0.777 0.750
0.740 0.223 0.250
0.740 0.277 0.750
0.760 0.723 0.250
0.760 0.777 0.750
0.239 0.142 0.433
0.239 0.358 0.933
0.261 0.642 0.433
0.261 0.858 0.933
0.739 0.142 0.067
0.739 0.358 0.567
0.761 0.642 0.067
0.761 0.858 0.567
0.009 0.652 0.750
0.009 0.848 0.250
0.491 0.152 0.750
0.491 0.348 0.250
0.509 0.652 0.750
0.509 0.848 0.250
0.991 0.152 0.750
0.991 0.348 0.250
```

ρ   6.899 g/cm³
SG   Pbca, No. 61


entry ii has the most favorable energy; the next structure is 178 meV per atom above.